Record 1
# TiGaBrO2

An optimized crystal structure of TiGaBrO2 (PBE-GGA, Alexandria via LeMat-Bulk).

Results
E_tot in eV per atom: -4.95
Space group: P4/mmm, No. 123

Geometry as POSCAR:
```
TiGaBrO2
1.0
3.746 0.000 0.000
0.000 3.746 0.000
0.000 0.000 6.065
Ti Ga Br O
1 1 1 2
Cartesian
0.000 0.000 0.000
0.000 0.000 3.032
1.873 1.873 0.000
0.000 1.873 3.032
1.873 0.000 3.032
```

=====

Record 2
# Ga2OsBr2

An optimized crystal structure of Ga2OsBr2 (PBE-GGA, Alexandria via LeMat-Bulk).

Results
E_tot in eV per atom: -3.23
Excess energy over the best structure of this formula in the dataset in eV per formula unit: 1.47
Space group: I4/mmm, No. 139

Geometry as POSCAR:
```
Ga2OsBr2
1.0
-1.793 1.793 8.956
1.793 -1.793 8.956
1.793 1.793 -8.956
Ga Os Br
2 1 2
Cartesian
1.793 0.000 4.478
0.000 1.793 4.478
0.000 0.000 0.000
0.000 0.000 7.298
0.000 0.000 10.614
```

=====

Record 3
# Ga2OsBr2

An optimized crystal structure of Ga2OsBr2 (PBE-GGA, Alexandria via LeMat-Bulk).

Results
E_tot in eV per atom: -3.52
Excess energy over the best structure of this formula in the dataset in eV per formula unit: 0.00
Space group: P4/mbm, No. 127

Geometry as POSCAR:
```
Ga2OsBr2
1.0
6.659 0.000 0.000
0.000 6.659 0.000
0.000 0.000 5.470
Ga Os Br
4 2 4
Cartesian
1.371 1.959 0.000
1.959 5.288 0.000
4.700 1.371 0.000
5.288 4.700 0.000
0.000 0.000 2.735
3.329 3.329 2.735
1.116 4.445 2.735
2.214 1.116 2.735
4.445 5.543 2.735
5.543 2.214 2.735
```

=====

Record 4
# GaOs3Br

An optimized crystal structure of GaOs3Br (PBE-GGA, Alexandria via LeMat-Bulk).

Results
E_tot in eV per atom: -5.25
Excess energy over the best structure of this formula in the dataset in eV per formula unit: 0.32
Space group: Pm-3m, No. 221

Geometry as POSCAR:
```
GaOs3Br
1.0
4.571 0.000 0.000
0.000 4.571 0.000
0.000 0.000 4.571
Ga Os Br
1 3 1
Cartesian
0.000 0.000 0.000
0.000 2.286 2.286
2.286 0.000 2.286
2.286 2.286 0.000
2.286 2.286 2.286
```

=====

Record 5
# GaOsBr2

An optimized crystal structure of GaOsBr2 (PBE-GGA, Alexandria via LeMat-Bulk).

Results
E_tot in eV per atom: -3.82
Excess energy over the best structure of this formula in the dataset in eV per formula unit: 0.01
Space group: R-3m, No. 166

Geometry as POSCAR:
```
GaOsBr2
1.0
1.557 0.899 10.092
-1.557 0.899 10.092
0.000 -1.797 10.092
Ga Os Br
1 1 2
Cartesian
0.000 0.000 0.000
0.000 0.000 15.138
0.000 0.000 12.769
0.000 0.000 17.506
```

=====

Record 6
# GaOsBr2

An optimized crystal structure of GaOsBr2 (PBE-GGA, Alexandria via LeMat-Bulk).

Results
E_tot in eV per atom: -3.38
Excess energy over the best structure of this formula in the dataset in eV per formula unit: 1.77
Space group: Fm-3m, No. 225

Geometry as POSCAR:
```
GaOsBr2
1.0
0.000 3.512 3.512
3.512 0.000 3.512
3.512 3.512 0.000
Ga Os Br
1 1 2
Cartesian
0.000 0.000 0.000
3.512 3.512 3.512
1.756 1.756 1.756
5.269 5.269 5.269
```

=====

Record 7
# GaOsBr2

An optimized crystal structure of GaOsBr2 (PBE-GGA, Alexandria via LeMat-Bulk).

Results
E_tot in eV per atom: -3.57
Excess energy over the best structure of this formula in the dataset in eV per formula unit: 1.00
Space group: I-42d, No. 122

Geometry as POSCAR:
```
GaOsBr2
1.0
-3.252 3.252 5.739
3.252 -3.252 5.739
3.252 3.252 -5.739
Ga Os Br
2 2 4
Cartesian
0.000 0.000 0.000
0.000 3.252 2.870
3.252 0.000 2.870
0.000 0.000 5.739
1.626 -1.117 4.305
2.135 1.626 1.435
1.626 4.368 -1.435
1.117 1.626 7.174
```

=====

Record 8
# GaOs3Br

An optimized crystal structure of GaOs3Br (PBE-GGA, Alexandria via LeMat-Bulk).

Results
E_tot in eV per atom: -5.31
Excess energy over the best structure of this formula in the dataset in eV per formula unit: 0.00
Space group: Pm-3m, No. 221

Geometry as POSCAR:
```
GaOs3Br
1.0
4.650 0.000 0.000
0.000 4.650 0.000
0.000 0.000 4.650
Ga Os Br
1 3 1
Cartesian
0.000 0.000 0.000
0.000 0.000 2.325
0.000 2.325 0.000
2.325 0.000 0.000
2.325 2.325 2.325
```

=====

Record 9
# GaOsBr2

An optimized crystal structure of GaOsBr2 (PBE-GGA, Alexandria via LeMat-Bulk).

Results
E_tot in eV per atom: -3.82
Excess energy over the best structure of this formula in the dataset in eV per formula unit: 0.00
Space group: R-3m, No. 166

Geometry as POSCAR:
```
GaOsBr2
1.0
1.876 1.083 9.166
-1.876 1.083 9.166
0.000 -2.166 9.166
Ga Os Br
1 1 2
Cartesian
0.000 0.000 0.000
0.000 0.000 13.749
0.000 0.000 3.274
0.000 0.000 24.223
```

=====

Record 10
# Pm8Ga3OsBr4

An optimized crystal structure of Pm8Ga3OsBr4 (PBE-GGA, Alexandria via LeMat-Bulk).

Results
E_tot in eV per atom: -4.90
Space group: R-3m, No. 166

Geometry as POSCAR:
```
Pm8Ga3OsBr4
1.0
4.241 2.448 7.396
-4.241 2.448 7.396
0.000 -4.897 7.396
Pm Ga Os Br
8 3 1 4
Cartesian
0.000 0.000 5.412
-2.003 -1.156 12.652
0.000 -2.313 9.536
-2.003 1.156 9.536
2.003 -1.156 12.652
0.000 2.313 12.652
2.003 1.156 9.536
0.000 0.000 16.776
-4.241 0.000 11.094
-2.120 1.224 3.698
2.120 1.224 3.698
0.000 0.000 11.094
0.000 0.000 0.000
-2.120 -1.224 7.396
-2.120 1.224 14.792
0.000 2.448 7.396
```

=====

Record 11
# Pr6GaOs2Br3

An optimized crystal structure of Pr6GaOs2Br3 (PBE-GGA, Alexandria via LeMat-Bulk).

Results
E_tot in eV per atom: -5.69
Space group: C2/m, No. 12

Geometry as POSCAR:
```
Pr6GaOs2Br3
1.0
3.661 -6.351 0.000
3.661 6.351 0.000
-2.449 0.000 7.830
Pr Ga Os Br
6 1 2 3
Cartesian
-0.084 2.258 6.257
1.062 0.000 1.581
-0.084 -2.258 6.257
4.956 2.258 1.573
3.810 0.000 6.249
4.956 -2.258 1.573
3.661 0.000 0.000
3.661 4.239 0.000
3.661 -4.239 0.000
-1.225 0.000 3.915
2.436 2.111 3.915
2.436 -2.111 3.915
```

=====

Record 12
# Pr8GaOs3Br4

An optimized crystal structure of Pr8GaOs3Br4 (PBE-GGA, Alexandria via LeMat-Bulk).

Results
E_tot in eV per atom: -5.83
Space group: R-3m, No. 166

Geometry as POSCAR:
```
Pr8GaOs3Br4
1.0
4.222 2.437 7.820
-4.222 2.437 7.820
0.000 -4.875 7.820
Pr Ga Os Br
8 1 3 4
Cartesian
-2.209 -1.275 13.259
0.000 0.000 5.505
0.000 -2.550 10.202
-2.209 1.275 10.202
2.209 -1.275 13.259
0.000 2.550 13.259
0.000 0.000 17.956
2.209 1.275 10.202
0.000 0.000 11.731
-4.222 0.000 11.731
-2.111 1.219 3.910
2.111 1.219 3.910
0.000 0.000 0.000
-2.111 -1.219 7.820
-2.111 1.219 15.641
0.000 2.437 7.820
```

=====

Record 13
# RbGa2OsBr

An optimized crystal structure of RbGa2OsBr (PBE-GGA, Alexandria via LeMat-Bulk).

Results
E_tot in eV per atom: -2.95
Space group: P4/mmm, No. 123

Geometry as POSCAR:
```
RbGa2OsBr
1.0
5.786 0.000 0.000
0.000 5.786 0.000
0.000 0.000 4.621
Rb Ga Os Br
1 2 1 1
Cartesian
0.000 0.000 0.000
0.000 2.893 2.311
2.893 0.000 2.311
2.893 2.893 0.000
2.893 2.893 2.311
```

=====

Record 14
# RbGaOsBr2

An optimized crystal structure of RbGaOsBr2 (PBE-GGA, Alexandria via LeMat-Bulk).

Results
E_tot in eV per atom: -2.79
Space group: P4/mmm, No. 123

Geometry as POSCAR:
```
RbGaOsBr2
1.0
5.592 0.000 0.000
0.000 5.592 0.000
0.000 0.000 6.705
Rb Ga Os Br
1 1 1 2
Cartesian
0.000 0.000 0.000
0.000 0.000 3.353
2.796 2.796 0.000
0.000 2.796 3.353
2.796 0.000 3.353
```

=====

Record 15
# GaOs2SBr

An optimized crystal structure of GaOs2SBr (PBE-GGA, Alexandria via LeMat-Bulk).

Results
E_tot in eV per atom: -5.20
Space group: P4/mmm, No. 123

Geometry as POSCAR:
```
GaOs2SBr
1.0
4.295 0.000 0.000
0.000 4.295 0.000
0.000 0.000 7.168
Ga Os S Br
1 2 1 1
Cartesian
0.000 0.000 0.000
0.000 2.147 3.584
2.147 0.000 3.584
2.147 2.147 3.584
2.147 2.147 0.000
```

=====

Record 16
# GaOsSe2Br

An optimized crystal structure of GaOsSe2Br (PBE-GGA, Alexandria via LeMat-Bulk).

Results
E_tot in eV per atom: -3.34
Excess energy over the best structure of this formula in the dataset in eV per formula unit: 4.55
Space group: P4/mmm, No. 123

Geometry as POSCAR:
```
GaOsSe2Br
1.0
4.989 0.000 0.000
0.000 4.989 0.000
0.000 0.000 4.958
Ga Os Se Br
1 1 2 1
Cartesian
0.000 0.000 0.000
2.494 2.494 2.479
0.000 2.494 0.000
2.494 0.000 0.000
0.000 0.000 2.479
```

=====

Record 17
# GaOsSe2Br

An optimized crystal structure of GaOsSe2Br (PBE-GGA, Alexandria via LeMat-Bulk).

Results
E_tot in eV per atom: -4.25
Excess energy over the best structure of this formula in the dataset in eV per formula unit: 0.00
Space group: P4/mmm, No. 123

Geometry as POSCAR:
```
GaOsSe2Br
1.0
4.829 0.000 0.000
0.000 4.829 0.000
0.000 0.000 5.494
Ga Os Se Br
1 1 2 1
Cartesian
0.000 0.000 0.000
2.415 2.415 2.747
0.000 2.415 2.747
2.415 0.000 2.747
2.415 2.415 0.000
```

=====

Record 18
# GaOsSeBr2

An optimized crystal structure of GaOsSeBr2 (PBE-GGA, Alexandria via LeMat-Bulk).

Results
E_tot in eV per atom: -3.97
Excess energy over the best structure of this formula in the dataset in eV per formula unit: 0.00
Space group: P4/mmm, No. 123

Geometry as POSCAR:
```
GaOsSeBr2
1.0
5.388 0.000 0.000
0.000 5.388 0.000
0.000 0.000 4.633
Ga Os Se Br
1 1 1 2
Cartesian
0.000 0.000 0.000
2.694 2.694 2.316
2.694 2.694 0.000
0.000 2.694 2.316
2.694 0.000 2.316
```

=====

Record 19
# GaOsSeBr2

An optimized crystal structure of GaOsSeBr2 (PBE-GGA, Alexandria via LeMat-Bulk).

Results
E_tot in eV per atom: -3.08
Excess energy over the best structure of this formula in the dataset in eV per formula unit: 4.42
Space group: P4/mmm, No. 123

Geometry as POSCAR:
```
GaOsSeBr2
1.0
5.044 0.000 0.000
0.000 5.044 0.000
0.000 0.000 5.164
Ga Os Se Br
1 1 1 2
Cartesian
0.000 0.000 0.000
2.522 2.522 2.582
0.000 0.000 2.582
0.000 2.522 0.000
2.522 0.000 0.000
```

=====

Record 20
# Sm8GaOs3Br4

An optimized crystal structure of Sm8GaOs3Br4 (PBE-GGA, Alexandria via LeMat-Bulk).

Results
E_tot in eV per atom: -5.81
Space group: R-3m, No. 166

Geometry as POSCAR:
```
Sm8GaOs3Br4
1.0
4.141 2.391 7.691
-4.141 2.391 7.691
0.000 -4.782 7.691
Sm Ga Os Br
8 1 3 4
Cartesian
-2.168 -1.252 13.035
0.000 0.000 5.400
0.000 -2.504 10.039
-2.168 1.252 10.039
2.168 -1.252 13.035
0.000 2.504 13.035
0.000 0.000 17.674
2.168 1.252 10.039
0.000 0.000 11.537
-4.141 0.000 11.537
-2.071 1.195 3.846
2.071 1.195 3.846
0.000 0.000 0.000
-2.071 -1.195 7.691
-2.071 1.195 15.383
0.000 2.391 7.691
```

=====

Record 21
# GaSn2OsBr

An optimized crystal structure of GaSn2OsBr (PBE-GGA, Alexandria via LeMat-Bulk).

Results
E_tot in eV per atom: -5.02
Space group: P4/mmm, No. 123

Geometry as POSCAR:
```
GaSn2OsBr
1.0
5.147 0.000 0.000
0.000 5.147 0.000
0.000 0.000 4.918
Ga Sn Os Br
1 2 1 1
Cartesian
0.000 0.000 0.000
0.000 2.574 2.459
2.574 0.000 2.459
0.000 0.000 2.459
2.574 2.574 0.000
```

=====

Record 22
# TlGaOs2Br

An optimized crystal structure of TlGaOs2Br (PBE-GGA, Alexandria via LeMat-Bulk).

Results
E_tot in eV per atom: -4.06
Space group: P4/mmm, No. 123

Geometry as POSCAR:
```
TlGaOs2Br
1.0
4.610 0.000 0.000
0.000 4.610 0.000
0.000 0.000 5.643
Tl Ga Os Br
1 1 2 1
Cartesian
0.000 0.000 0.000
2.305 2.305 0.000
0.000 2.305 2.822
2.305 0.000 2.822
2.305 2.305 2.822
```

=====

Record 23
# Ga2PBr

An optimized crystal structure of Ga2PBr (PBE-GGA, Alexandria via LeMat-Bulk).

Results
E_tot in eV per atom: -3.34
Excess energy over the best structure of this formula in the dataset in eV per formula unit: 0.00
Space group: I-42d, No. 122

Geometry as POSCAR:
```
Ga2PBr
1.0
-3.458 3.458 4.225
3.458 -3.458 4.225
3.458 3.458 -4.225
Ga P Br
4 2 2
Cartesian
1.729 1.356 -1.056
2.103 -1.729 5.282
1.729 2.103 3.169
1.356 5.187 1.056
0.000 0.000 0.000
0.000 3.458 2.113
3.458 0.000 2.113
0.000 0.000 4.225
```

=====

Record 24
# GaP2Br

An optimized crystal structure of GaP2Br (PBE-GGA, Alexandria via LeMat-Bulk).

Results
E_tot in eV per atom: -3.37
Excess energy over the best structure of this formula in the dataset in eV per formula unit: 0.00
Space group: I-42d, No. 122

Geometry as POSCAR:
```
GaP2Br
1.0
-3.240 3.240 4.620
3.240 -3.240 4.620
3.240 3.240 -4.620
Ga P Br
2 4 2
Cartesian
0.000 0.000 0.000
0.000 3.240 2.310
4.860 1.281 -1.155
1.281 1.620 1.155
-1.620 1.959 3.465
1.959 1.620 5.775
3.240 0.000 2.310
0.000 0.000 4.620
```

=====

Record 25
# GaP2Br

An optimized crystal structure of GaP2Br (PBE-GGA, Alexandria via LeMat-Bulk).

Results
E_tot in eV per atom: -3.11
Excess energy over the best structure of this formula in the dataset in eV per formula unit: 1.05
Space group: Fm-3m, No. 225

Geometry as POSCAR:
```
GaP2Br
1.0
0.000 3.324 3.324
3.324 0.000 3.324
3.324 3.324 0.000
Ga P Br
1 2 1
Cartesian
0.000 0.000 0.000
1.662 1.662 1.662
4.986 4.986 4.986
3.324 3.324 3.324
```

=====

Record 26
# Ga2PBr

An optimized crystal structure of Ga2PBr (PBE-GGA, Alexandria via LeMat-Bulk).

Results
E_tot in eV per atom: -3.12
Excess energy over the best structure of this formula in the dataset in eV per formula unit: 0.90
Space group: Fm-3m, No. 225

Geometry as POSCAR:
```
Ga2PBr
1.0
0.000 3.453 3.453
3.453 0.000 3.453
3.453 3.453 0.000
Ga P Br
2 1 1
Cartesian
1.726 1.726 1.726
5.179 5.179 5.179
0.000 0.000 0.000
3.453 3.453 3.453
```

=====

Spin magnetization
In order: 0.46 0.64 0.00 0.00 0.00 0.76 0.00 0.85 0.00 0.00 0.00 0.00 0.04 0.76 0.43 0.84 0.00 0.00 0.88 0.00 0.00 0.16 0.00 0.00 0.00 0.00
Unit: μB per atom